A plane-wave DFT calculation with GGA-PBEsol was carried out for a geometry-optimized Ag2RuCl structure.

Summary:
E_tot: -3.779 eV/atom
uncorrected formation energy: 0.9216 eV/atom
total magnetic moment: 2.18 μB/f.u.

abc: 6.505 6.505 6.505
angles: 90.00 90.00 90.00
Space group Fm-3m (No. 225)
One atom of each set of equivalent atoms:
Ag 0.250 0.250 0.250 x8
Ru 0.000 0.000 0.000 x4
Cl 0.000 0.000 0.500 x4



A plane-wave DFT calculation with GGA-PBEsol was carried out for a geometry-optimized AgWSe2Br structure.

Summary:
E_tot: -3.911 eV/atom
uncorrected formation energy: 1.4268 eV/atom
total magnetic moment: 3.43 μB/f.u.

abc: 4.994 4.994 4.858
angles: 90.00 90.00 90.00
Space group P4/mmm (No. 123)
One atom of each set of equivalent atoms:
Ag 0.000 0.000 0.000 x1
W 0.500 0.500 0.500 x1
Se 0.000 0.500 0.000 x2
Br 0.000 0.000 0.500 x1



A plane-wave DFT calculation with GGA-PBEsol was carried out for a geometry-optimized MgI2O6 structure.

Summary:
E_tot: -4.998 eV/atom
uncorrected formation energy: -0.9154 eV/atom
total magnetic moment: 0.00 μB/f.u.

abc: 14.304 6.666 5.248
angles: 90.00 90.00 90.00
Space group Pbcn (No. 60)
One atom of each set of equivalent atoms:
Mg 0.000 0.134 0.250 x4
I 0.151 0.293 0.745 x8
O 0.079 0.103 0.913 x8
O 0.081 0.332 0.455 x8
O 0.243 0.131 0.620 x8



A plane-wave DFT calculation with GGA-PBEsol was carried out for a geometry-optimized TlIr2Au structure.

Summary:
DFT formation energy: 198.4 kJ/mol of formula units
E_tot: -6.036 eV/atom
total magnetic moment: 0.00 μB/f.u.

abc: 2.872 4.711 4.918
angles: 90.00 90.24 90.00
Space group P2/m (No. 10)
One atom of each set of equivalent atoms:
Tl 0.000 0.000 0.000 x1
Ir 0.251 0.500 0.739 x2
Au 0.500 0.000 0.500 x1